First-principles (PBE) data for an optimized crystal structure of Be2NiAs, as listed in Alexandria.

As for the formation energy from the elements: 0.0713 eV per atom. Its density of states at the Fermi level is 0.296 states/eV per atom.

It has space group P2/m (No. 10), with a = 2.7489 Å, b = 3.5538 Å, c = 4.7464 Å, α = 90.00°, β = 90.31° and γ = 90.00°. The distinct sites, in fractional coordinates, are Be at (0.0047, 0.0000, 0.2858), Ni at (0.5000, 0.5000, 0.5000) and As at (0.0000, 0.5000, 0.0000).

***

First-principles (PBE) data for an optimized crystal structure of HfZrMo2, as listed in Alexandria.

As for the offset from the most stable computed form: 0 meV per atom. As for the formation energy from the elements: 0.0269 eV per atom. Its density of states at the Fermi level is 1.656 states/eV per atom.

It has space group P4/mmm (No. 123), with a = 3.3295 Å, b = 3.3295 Å, c = 6.6623 Å, α = 90.00°, β = 90.00° and γ = 90.00°. The distinct sites, in fractional coordinates, are Hf at (0.0000, 0.0000, 0.0000), Zr at (0.0000, 0.0000, 0.5000) and Mo at (0.5000, 0.5000, 0.2484).

***

First-principles (PBE) data for an optimized crystal structure of Ac7Zn2Sn2, as listed in Alexandria.

As for the formation energy from the elements: -0.1278 eV per atom. Its density of states at the Fermi level is 1.246 states/eV per atom.

It has space group Cmmm (No. 65), with a = 8.6921 Å, b = 12.2434 Å, c = 7.8658 Å, α = 90.00°, β = 90.00° and γ = 90.00°. The distinct sites, in fractional coordinates, are Ac at (0.0000, 0.0000, 0.0000), Ac at (0.0000, 0.5000, 0.2436), Ac at (0.2500, 0.2500, 0.2778), Zn at (0.0000, 0.2872, 0.0000) and Sn at (0.1709, 0.0000, 0.5000).

***

First-principles (PBE) data for an optimized crystal structure of Tb2HoPaP4, as listed in Alexandria.

As for the formation energy from the elements: -1.5484 eV per atom. Its density of states at the Fermi level is 0.574 states/eV per atom.

It has space group P2/m (No. 10), with a = 6.9095 Å, b = 4.0029 Å, c = 6.9218 Å, α = 90.00°, β = 109.47° and γ = 90.00°. The distinct sites, in fractional coordinates, are Tb at (0.0000, 0.0000, 0.0000), Tb at (0.5000, 0.5000, 0.0000), Ho at (0.0000, 0.5000, 0.5000), Pa at (0.5000, 0.0000, 0.5000), P at (0.2520, 0.0000, 0.7444) and P at (0.2535, 0.5000, 0.2553).

***

First-principles (PBE) data for an optimized crystal structure of TbDy2Ti, as listed in Alexandria.

As for the offset from the most stable computed form: 0 meV per atom. As for the formation energy from the elements: 0.1629 eV per atom. Its density of states at the Fermi level is 1.568 states/eV per atom.

It has space group P4/mmm (No. 123), with a = 3.3948 Å, b = 3.3948 Å, c = 9.5541 Å, α = 90.00°, β = 90.00° and γ = 90.00°. The distinct sites, in fractional coordinates, are Tb at (0.0000, 0.0000, 0.0000), Dy at (0.5000, 0.5000, 0.2807) and Ti at (0.0000, 0.0000, 0.5000).

***

First-principles (PBE) data for an optimized crystal structure of MnCo2Pt, as listed in Alexandria.

As for the formation energy from the elements: 0.0293 eV per atom. Its density of states at the Fermi level is 0.599 states/eV per atom.

It has space group R3m (No. 160, hexagonal axes), with a = 2.7000 Å, b = 2.7000 Å, c = 24.9714 Å, α = 90.00°, β = 90.00° and γ = 120.00°. The distinct sites, in fractional coordinates, are Mn at (0.0000, 0.0000, 0.0000), Co at (0.0000, 0.0000, 0.2530), Co at (0.0000, 0.0000, 0.5113) and Pt at (0.0000, 0.0000, 0.7560).

***

First-principles (PBE) data for an optimized crystal structure of UGe2Pd2, as listed in Alexandria.

As for the formation energy from the elements: -0.4474 eV per atom. Its density of states at the Fermi level is 1.596 states/eV per atom.

It has space group I4/mmm (No. 139), with a = 4.1691 Å, b = 4.1691 Å, c = 10.5761 Å, α = 90.00°, β = 90.00° and γ = 90.00°. The distinct sites, in fractional coordinates, are U at (0.0000, 0.0000, 0.0000), Ge at (0.0000, 0.0000, 0.3854) and Pd at (0.0000, 0.5000, 0.2500).

***

First-principles (PBE) data for an optimized crystal structure of Ta2GePt4, as listed in Alexandria.

As for the formation energy from the elements: 0.4783 eV per atom. Its density of states at the Fermi level is 1.137 states/eV per atom.

It has space group I4/mmm (No. 139), with a = 4.6627 Å, b = 4.6627 Å, c = 13.0425 Å, α = 90.00°, β = 90.00° and γ = 90.00°. The distinct sites, in fractional coordinates, are Ta at (0.0000, 0.0000, 0.1209), Ge at (0.0000, 0.0000, 0.5000), Pt at (0.0000, 0.0000, 0.3074) and Pt at (0.0000, 0.5000, 0.0000).